Record 1
Dy2NbN3: optimized geometry, PBE. Values from VASP.

Calculated values
The value obtained for the uncorrected formation energy is -1.381 eV per atom. The calculated volume comes out at 13.31 A^3/atom. Its symmetry is No. 139.

```
&SYSTEM
  ibrav = 0, nat = 6, ntyp = 3
/
ATOMIC_SPECIES
Dy 162.50 Dy.upf
Nb 92.91 Nb.upf
N 14.01 N.upf
CELL_PARAMETERS angstrom
-1.679 1.679 7.081
1.679 -1.679 7.081
1.679 1.679 -7.081
ATOMIC_POSITIONS crystal
Dy 0.163 0.163 0.000
Dy 0.837 0.837 0.000
Nb 0.500 0.500 0.000
N 0.000 0.000 0.000
N 0.342 0.342 0.000
N 0.658 0.658 0.000
```

---

Record 2
DyNb4N6: optimized geometry, PBE. Values from VASP.

Calculated values
The value obtained for the uncorrected formation energy is -1.117 eV per atom. The calculated volume comes out at 11.62 A^3/atom. Its symmetry is No. 63.

```
&SYSTEM
  ibrav = 0, nat = 22, ntyp = 3
/
ATOMIC_SPECIES
Dy 162.50 Dy.upf
Nb 92.91 Nb.upf
N 14.01 N.upf
CELL_PARAMETERS angstrom
1.571 -5.161 0.000
1.571 5.161 0.000
0.000 0.000 15.756
ATOMIC_POSITIONS crystal
Dy 0.154 0.846 0.750
Dy 0.846 0.154 0.250
Nb 0.101 0.899 0.131
Nb 0.101 0.899 0.369
Nb 0.354 0.646 0.042
Nb 0.354 0.646 0.458
Nb 0.646 0.354 0.542
Nb 0.646 0.354 0.958
Nb 0.899 0.101 0.631
Nb 0.899 0.101 0.869
N 0.000 0.000 0.000
N 0.000 0.000 0.500
N 0.173 0.827 0.250
N 0.265 0.735 0.593
N 0.265 0.735 0.907
N 0.462 0.538 0.160
N 0.462 0.538 0.340
N 0.538 0.462 0.660
N 0.538 0.462 0.840
N 0.735 0.265 0.093
N 0.735 0.265 0.407
N 0.827 0.173 0.750
```

---

Record 3
Dy4NbN5: optimized geometry, PBE. Values from VASP.

Calculated values
The value obtained for the uncorrected formation energy is -1.542 eV per atom. The calculated volume comes out at 13.77 A^3/atom. Its symmetry is No. 79.

```
&SYSTEM
  ibrav = 0, nat = 10, ntyp = 3
/
ATOMIC_SPECIES
Dy 162.50 Dy.upf
Nb 92.91 Nb.upf
N 14.01 N.upf
CELL_PARAMETERS angstrom
-3.782 3.782 2.406
3.782 -3.782 2.406
3.782 3.782 -2.406
ATOMIC_POSITIONS crystal
Dy 0.099 0.297 0.396
Dy 0.297 0.901 0.199
Dy 0.703 0.099 0.801
Dy 0.901 0.703 0.604
Nb 0.512 0.512 0.000
N 0.217 0.598 0.811
N 0.406 0.217 0.619
N 0.598 0.787 0.381
N 0.787 0.406 0.189
N 0.982 0.982 0.000
```

---

Record 4
DyNb3N6: optimized geometry, PBE. Values from VASP.

Calculated values
The value obtained for the uncorrected formation energy is -0.939 eV per atom. The calculated volume comes out at 11.68 A^3/atom. Its symmetry is No. 11.

```
&SYSTEM
  ibrav = 0, nat = 20, ntyp = 3
/
ATOMIC_SPECIES
Dy 162.50 Dy.upf
Nb 92.91 Nb.upf
N 14.01 N.upf
CELL_PARAMETERS angstrom
8.592 0.000 0.000
0.000 3.191 0.000
-2.713 0.000 8.519
ATOMIC_POSITIONS crystal
Dy 0.079 0.250 0.197
Dy 0.921 0.750 0.803
Nb 0.163 0.250 0.588
Nb 0.318 0.750 0.993
Nb 0.490 0.250 0.328
Nb 0.510 0.750 0.672
Nb 0.682 0.250 0.007
Nb 0.837 0.750 0.412
N 0.074 0.750 0.405
N 0.136 0.250 0.948
N 0.250 0.750 0.725
N 0.305 0.750 0.231
N 0.386 0.250 0.530
N 0.472 0.250 0.094
N 0.528 0.750 0.906
N 0.614 0.750 0.470
N 0.695 0.250 0.769
N 0.750 0.250 0.275
N 0.864 0.750 0.052
N 0.926 0.250 0.595
```

---

Record 5
Dy2NpNbN4: optimized geometry, PBE. Values from VASP.

Calculated values
The value obtained for the uncorrected formation energy is -1.387 eV per atom. The calculated volume comes out at 13.39 A^3/atom. Its symmetry is No. 10.

```
&SYSTEM
  ibrav = 0, nat = 8, ntyp = 4
/
ATOMIC_SPECIES
Dy 162.50 Dy.upf
Np 237.00 Np.upf
Nb 92.91 Nb.upf
N 14.01 N.upf
CELL_PARAMETERS angstrom
5.772 0.000 0.000
0.000 3.354 0.000
-1.887 0.000 5.534
ATOMIC_POSITIONS crystal
Dy 0.000 0.000 0.000
Dy 0.500 0.500 0.000
Np 0.000 0.500 0.500
Nb 0.500 0.000 0.500
N 0.250 0.000 0.735
N 0.259 0.500 0.271
N 0.741 0.500 0.729
N 0.750 0.000 0.265
```

---

Record 6
DyNpNbN3: optimized geometry, PBE. Values from VASP.

Calculated values
The value obtained for the uncorrected formation energy is -1.158 eV per atom. The calculated volume comes out at 13.42 A^3/atom. Its symmetry is No. 11.

```
&SYSTEM
  ibrav = 0, nat = 12, ntyp = 4
/
ATOMIC_SPECIES
Dy 162.50 Dy.upf
Np 237.00 Np.upf
Nb 92.91 Nb.upf
N 14.01 N.upf
CELL_PARAMETERS angstrom
5.715 0.000 0.000
0.000 3.241 0.000
-2.539 0.000 8.690
ATOMIC_POSITIONS crystal
Dy 0.005 0.250 0.312
Dy 0.995 0.750 0.688
Np 0.375 0.250 0.056
Np 0.625 0.750 0.944
Nb 0.466 0.250 0.623
Nb 0.534 0.750 0.377
N 0.206 0.750 0.164
N 0.241 0.750 0.502
N 0.298 0.250 0.797
N 0.702 0.750 0.203
N 0.759 0.250 0.498
N 0.794 0.250 0.836
```

---

Record 7
Dy3Np3NbN8: optimized geometry, PBE. Values from VASP.

Calculated values
The value obtained for the uncorrected formation energy is -1.263 eV per atom. The calculated volume comes out at 14.78 A^3/atom. Its symmetry is No. 166.

```
&SYSTEM
  ibrav = 0, nat = 15, ntyp = 4
/
ATOMIC_SPECIES
Dy 162.50 Dy.upf
Np 237.00 Np.upf
Nb 92.91 Nb.upf
N 14.01 N.upf
CELL_PARAMETERS angstrom
3.384 1.954 5.589
-3.384 1.954 5.589
0.000 -3.908 5.589
ATOMIC_POSITIONS crystal
Dy 0.000 0.500 0.500
Dy 0.500 0.000 0.500
Dy 0.500 0.500 0.000
Np 0.000 0.000 0.500
Np 0.000 0.500 0.000
Np 0.500 0.000 0.000
Nb 0.500 0.500 0.500
N 0.249 0.249 0.249
N 0.260 0.727 0.727
N 0.273 0.273 0.740
N 0.273 0.740 0.273
N 0.727 0.260 0.727
N 0.727 0.727 0.260
N 0.740 0.273 0.273
N 0.751 0.751 0.751
```

---

Record 8
DyPa2NbN6: optimized geometry, PBE. Values from VASP.

Calculated values
The value obtained for the uncorrected formation energy is -1.422 eV per atom. The calculated volume comes out at 14.45 A^3/atom. Its symmetry is No. 146.

```
&SYSTEM
  ibrav = 0, nat = 10, ntyp = 4
/
ATOMIC_SPECIES
Dy 162.50 Dy.upf
Pa 231.04 Pa.upf
Nb 92.91 Nb.upf
N 14.01 N.upf
CELL_PARAMETERS angstrom
2.902 1.675 4.956
-2.902 1.675 4.956
0.000 -3.350 4.956
ATOMIC_POSITIONS crystal
Dy 0.000 0.000 0.000
Pa 0.276 0.276 0.276
Pa 0.775 0.775 0.775
Nb 0.491 0.491 0.491
N 0.096 0.652 0.395
N 0.201 0.589 0.842
N 0.395 0.096 0.652
N 0.589 0.842 0.201
N 0.652 0.395 0.096
N 0.842 0.201 0.589
```

---

Record 9
Dy2PaNbN4: optimized geometry, PBE. Values from VASP.

Calculated values
The value obtained for the uncorrected formation energy is -1.504 eV per atom. The calculated volume comes out at 13.77 A^3/atom. Its symmetry is No. 10.

```
&SYSTEM
  ibrav = 0, nat = 8, ntyp = 4
/
ATOMIC_SPECIES
Dy 162.50 Dy.upf
Pa 231.04 Pa.upf
Nb 92.91 Nb.upf
N 14.01 N.upf
CELL_PARAMETERS angstrom
5.815 0.000 0.000
0.000 3.391 0.000
-1.930 0.000 5.585
ATOMIC_POSITIONS crystal
Dy 0.000 0.000 0.000
Dy 0.500 0.500 0.000
Pa 0.000 0.500 0.500
Nb 0.500 0.000 0.500
N 0.250 0.000 0.739
N 0.258 0.500 0.268
N 0.742 0.500 0.732
N 0.750 0.000 0.261
```

---

Record 10
DyPaNbN3: optimized geometry, PBE. Values from VASP.

Calculated values
The value obtained for the uncorrected formation energy is -1.158 eV per atom. The calculated volume comes out at 15.70 A^3/atom. Its symmetry is No. 11.

```
&SYSTEM
  ibrav = 0, nat = 12, ntyp = 4
/
ATOMIC_SPECIES
Dy 162.50 Dy.upf
Pa 231.04 Pa.upf
Nb 92.91 Nb.upf
N 14.01 N.upf
CELL_PARAMETERS angstrom
7.079 0.000 0.000
0.000 3.291 0.000
-0.056 0.000 8.086
ATOMIC_POSITIONS crystal
Dy 0.127 0.250 0.167
Dy 0.873 0.750 0.833
Pa 0.377 0.750 0.835
Pa 0.623 0.250 0.165
Nb 0.140 0.250 0.556
Nb 0.860 0.750 0.444
N 0.141 0.250 0.851
N 0.166 0.750 0.392
N 0.394 0.750 0.106
N 0.606 0.250 0.894
N 0.834 0.250 0.608
N 0.859 0.750 0.149
```

---

Record 11
Dy2PaNbN6: optimized geometry, PBE. Values from VASP.

Calculated values
The value obtained for the uncorrected formation energy is -1.066 eV per atom. The calculated volume comes out at 14.18 A^3/atom. Its symmetry is No. 146.

```
&SYSTEM
  ibrav = 0, nat = 10, ntyp = 4
/
ATOMIC_SPECIES
Dy 162.50 Dy.upf
Pa 231.04 Pa.upf
Nb 92.91 Nb.upf
N 14.01 N.upf
CELL_PARAMETERS angstrom
2.892 1.670 4.894
-2.892 1.670 4.894
0.000 -3.339 4.894
ATOMIC_POSITIONS crystal
Dy 0.000 0.000 0.000
Dy 0.500 0.500 0.500
Pa 0.226 0.226 0.226
Nb 0.728 0.728 0.728
N 0.064 0.446 0.856
N 0.363 0.921 0.584
N 0.446 0.856 0.064
N 0.584 0.363 0.921
N 0.856 0.064 0.446
N 0.921 0.584 0.363
```

---

Record 12
Pm2DyNbN4: optimized geometry, PBE. Values from VASP.

Calculated values
The value obtained for the uncorrected formation energy is -1.371 eV per atom. The calculated volume comes out at 14.29 A^3/atom. Its symmetry is No. 10.

```
&SYSTEM
  ibrav = 0, nat = 8, ntyp = 4
/
ATOMIC_SPECIES
Pm 145.00 Pm.upf
Dy 162.50 Dy.upf
Nb 92.91 Nb.upf
N 14.01 N.upf
CELL_PARAMETERS angstrom
5.922 0.000 0.000
0.000 3.415 0.000
-1.942 0.000 5.653
ATOMIC_POSITIONS crystal
Pm 0.000 0.000 0.000
Pm 0.500 0.500 0.000
Dy 0.000 0.500 0.500
Nb 0.500 0.000 0.500
N 0.261 0.000 0.724
N 0.273 0.500 0.280
N 0.727 0.500 0.720
N 0.739 0.000 0.276
```

---

Which formula does entry 1 have?
Dy2NbN3

---

What is the formula in the twelfth record?
Pm2DyNbN4

---

What is the calculated volume in the first record?
13.31 A^3/atom